Ba3PuCr2O9 | PBE+U | relaxed

a = 5.8308 Å, b = 5.8308 Å, c = 7.2087 Å
α = 90.00°, β = 90.00°, γ = 120.00°
Last column: nearest neighbours and their distance in Å.
Sites, in units of the cell vectors:
Ba 0.0000 0.0000 0.0000  12 O 2.92-2.93
Ba 0.3333 0.6667 0.6899  12 O 2.80-3.08
Ba 0.6667 0.3333 0.3101  12 O 2.80-3.08
Pu 0.0000 0.0000 0.5000  6 O 2.09
Cr 0.3333 0.6667 0.1550  6 O 2.02-2.10
Cr 0.6667 0.3333 0.8450  6 O 2.02-2.10
O 0.0000 0.5000 0.0000  2 Cr 2.02
O 0.1680 0.3359 0.3315  1 Pu 2.09, 1 Cr 2.10
O 0.1680 0.8320 0.3315  1 Pu 2.09, 1 Cr 2.10
O 0.3359 0.1680 0.6685  1 Pu 2.09, 1 Cr 2.10
O 0.5000 0.0000 0.0000  2 Cr 2.02
O 0.5000 0.5000 0.0000  2 Cr 2.02
O 0.6641 0.8320 0.3315  1 Pu 2.09, 1 Cr 2.10
O 0.8320 0.1680 0.6685  1 Pu 2.09, 1 Cr 2.10
O 0.8320 0.6641 0.6685  1 Pu 2.09, 1 Cr 2.10

Summary:
- E: -7.821 eV/atom
- Crystal system: trigonal